The following is a GGA-PBEsol calculation of crystalline LaBeRh2 at its relaxed geometry, from Alexandria via LeMat-Bulk.

Computed properties:
Energy of formation = -299 meV/atom
Space group = P2/m (10)

```
LaBeRh2
1.0
2.909 0.000 0.000
0.000 3.540 0.000
-0.482 0.000 6.155
La Be Rh
1 1 2
Direct
0.000 0.000 0.000
0.500 0.000 0.500
0.237 0.500 0.691
0.763 0.500 0.309
```